# LiGdThTc (PBE-GGA, optimized geometry)
data_LiGdThTc
_chemical_formula_sum 'Li4 Gd4 Th4 Tc4'
_cell_length_a 7.114
_cell_length_b 7.114
_cell_length_c 7.114
_cell_angle_alpha 90.00
_cell_angle_beta 90.00
_cell_angle_gamma 90.00
_space_group_name_H-M_alt 'F -4 3 m'
_space_group_IT_number 216
_space_group_name_Hall 'F -4 2 3'
loop_
_atom_site_label
_atom_site_type_symbol
_atom_site_fract_x
_atom_site_fract_y
_atom_site_fract_z
Li1 Li 0.000 0.000 0.000
Gd1 Gd 0.250 0.250 0.750
Th1 Th 0.250 0.250 0.250
Tc1 Tc 0.000 0.000 0.500
# E_form	-0.04	eV/atom


# TbSmTmAl (PBE-GGA, optimized geometry)
data_TbSmTmAl
_chemical_formula_sum 'Tb4 Sm4 Tm4 Al4'
_cell_length_a 7.583
_cell_length_b 7.583
_cell_length_c 7.583
_cell_angle_alpha 90.00
_cell_angle_beta 90.00
_cell_angle_gamma 90.00
_space_group_name_H-M_alt 'F -4 3 m'
_space_group_IT_number 216
_space_group_name_Hall 'F -4 2 3'
loop_
_atom_site_label
_atom_site_type_symbol
_atom_site_fract_x
_atom_site_fract_y
_atom_site_fract_z
Tb1 Tb 0.000 0.000 0.000
Sm1 Sm 0.000 0.000 0.500
Tm1 Tm 0.250 0.250 0.750
Al1 Al 0.250 0.250 0.250
# E_form	-0.07	eV/atom


# ReTcOsS2 (PBE-GGA, optimized geometry)
data_ReTcOsS2
_chemical_formula_sum 'Re1 Tc1 Os1 S2'
_cell_length_a 4.402
_cell_length_b 4.402
_cell_length_c 4.815
_cell_angle_alpha 90.00
_cell_angle_beta 90.00
_cell_angle_gamma 90.00
_space_group_name_H-M_alt 'P 4/m m m'
_space_group_IT_number 123
_space_group_name_Hall '-P 4 2'
loop_
_atom_site_label
_atom_site_type_symbol
_atom_site_fract_x
_atom_site_fract_y
_atom_site_fract_z
Re1 Re 0.000 0.000 0.000
Tc1 Tc 0.500 0.500 0.000
Os1 Os 0.500 0.500 0.500
S1 S 0.000 0.500 0.500
# uncorrected formation energy	1869	meV per atom


# Cs2PSe4S (PBE-GGA, optimized geometry)
data_Cs2PSe4S
_chemical_formula_sum 'Cs8 P4 Se16 S4'
_cell_length_a 10.394
_cell_length_b 10.281
_cell_length_c 11.627
_cell_angle_alpha 90.00
_cell_angle_beta 114.35
_cell_angle_gamma 90.00
_space_group_name_H-M_alt 'C 1 2/c 1'
_space_group_IT_number 15
loop_
_space_group_symop_operation_xyz
'x,y,z'
'-x,-y,-z'
'-x,y,-z+1/2'
'x,-y,z+1/2'
'x+1/2,y+1/2,z'
'-x+1/2,-y+1/2,-z'
'-x+1/2,y+1/2,-z+1/2'
'x+1/2,-y+1/2,z+1/2'
loop_
_atom_site_label
_atom_site_type_symbol
_atom_site_fract_x
_atom_site_fract_y
_atom_site_fract_z
Cs1 Cs 0.000 0.000 0.000
Cs2 Cs 0.250 0.250 0.000
P1 P 0.250 0.250 0.500
Se1 Se 0.125 0.419 0.362
Se2 Se 0.143 0.312 0.648
S1 S 0.000 0.500 0.000
# uncorrected formation energy	-245	meV per atom